# 1
# InCo (GGA-PBEsol, relaxed)
data_InCo
_cell_length_a 5.0925
_cell_length_b 5.0925
_cell_length_c 5.0925
_cell_angle_alpha 90.00
_cell_angle_beta 90.00
_cell_angle_gamma 90.00
_space_group_name_H-M_alt 'F m -3 m'
_space_group_IT_number 225
_space_group_name_Hall '-F 4 2 3'
loop_
_atom_site_label
_atom_site_fract_x
_atom_site_fract_y
_atom_site_fract_z
In1 0.0000 0.0000 0.0000
Co1 0.0000 0.0000 0.5000
# * crystal system: cubic

***

# 2
# InCo2 (GGA-PBEsol, relaxed)
data_InCo2
_cell_length_a 4.0736
_cell_length_b 4.0736
_cell_length_c 2.8293
_cell_angle_alpha 90.00
_cell_angle_beta 90.00
_cell_angle_gamma 120.00
_space_group_name_H-M_alt 'P 6/m m m'
_space_group_IT_number 191
_space_group_name_Hall '-P 6 2'
loop_
_atom_site_label
_atom_site_fract_x
_atom_site_fract_y
_atom_site_fract_z
In1 0.0000 0.0000 0.0000
Co1 0.3333 0.6667 0.5000
# * crystal system: hexagonal

***

# 3
# In3Co (GGA-PBEsol, relaxed)
data_In3Co
_cell_length_a 9.2169
_cell_length_b 9.2502
_cell_length_c 3.7853
_cell_angle_alpha 90.00
_cell_angle_beta 90.00
_cell_angle_gamma 90.00
_space_group_name_H-M_alt 'C m m m'
_space_group_IT_number 65
_space_group_name_Hall '-C 2 2'
loop_
_atom_site_label
_atom_site_fract_x
_atom_site_fract_y
_atom_site_fract_z
In1 0.0000 0.1593 0.0000
In2 0.1551 0.5000 0.0000
In3 0.2500 0.2500 0.5000
Co1 0.1392 0.0000 0.5000
# * crystal system: orthorhombic

***

# 4
# InCo2Ir (GGA-PBEsol, relaxed)
data_InCo2Ir
_cell_length_a 2.8019
_cell_length_b 3.3888
_cell_length_c 5.7398
_cell_angle_alpha 90.00
_cell_angle_beta 90.00
_cell_angle_gamma 90.00
_space_group_name_H-M_alt 'P m m 2'
_space_group_IT_number 25
loop_
_space_group_symop_operation_xyz
'x,y,z'
'-x,-y,z'
'-x,y,z'
'x,-y,z'
loop_
_atom_site_label
_atom_site_fract_x
_atom_site_fract_y
_atom_site_fract_z
In1 0.0000 0.0000 0.0000
Co1 0.0000 0.0000 0.5281
Co2 0.5000 0.5000 0.7306
Ir1 0.5000 0.5000 0.2961
# * crystal system: orthorhombic

***

# 5
# InCo2Ir (GGA-PBEsol, relaxed)
data_InCo2Ir
_cell_length_a 2.9795
_cell_length_b 4.3604
_cell_length_c 8.5391
_cell_angle_alpha 90.00
_cell_angle_beta 90.00
_cell_angle_gamma 90.00
_space_group_name_H-M_alt 'I m m m'
_space_group_IT_number 71
_space_group_name_Hall '-I 2 2'
loop_
_atom_site_label
_atom_site_fract_x
_atom_site_fract_y
_atom_site_fract_z
In1 0.0000 0.0000 0.0000
Co1 0.0000 0.5000 0.2471
Ir1 0.0000 0.0000 0.5000
# * crystal system: orthorhombic

***

# 6
# In2CoIr (GGA-PBEsol, relaxed)
data_In2CoIr
_cell_length_a 3.8649
_cell_length_b 3.8649
_cell_length_c 8.5892
_cell_angle_alpha 90.00
_cell_angle_beta 90.00
_cell_angle_gamma 90.00
_space_group_name_H-M_alt 'I -4 m 2'
_space_group_IT_number 119
_space_group_name_Hall 'I -4 -2'
loop_
_atom_site_label
_atom_site_fract_x
_atom_site_fract_y
_atom_site_fract_z
In1 0.0000 0.0000 0.0000
In2 0.0000 0.5000 0.2500
Co1 0.0000 0.5000 0.7500
Ir1 0.0000 0.0000 0.5000
# * crystal system: tetragonal

***

# 7
# In2CoIr (GGA-PBEsol, relaxed)
data_In2CoIr
_cell_length_a 2.9296
_cell_length_b 2.9296
_cell_length_c 7.9175
_cell_angle_alpha 90.00
_cell_angle_beta 90.00
_cell_angle_gamma 90.00
_space_group_name_H-M_alt 'P 4 m m'
_space_group_IT_number 99
loop_
_space_group_symop_operation_xyz
'x,y,z'
'-y,x,z'
'-x,-y,z'
'y,-x,z'
'-x,y,z'
'y,x,z'
'x,-y,z'
'-y,-x,z'
loop_
_atom_site_label
_atom_site_fract_x
_atom_site_fract_y
_atom_site_fract_z
In1 0.0000 0.0000 0.0000
In2 0.5000 0.5000 0.3475
Co1 0.5000 0.5000 0.7756
Ir1 0.0000 0.0000 0.5921
# * crystal system: tetragonal

***

# 8
# InCoIr3 (GGA-PBEsol, relaxed)
data_InCoIr3
_cell_length_a 4.7554
_cell_length_b 4.7554
_cell_length_c 4.7554
_cell_angle_alpha 90.00
_cell_angle_beta 90.00
_cell_angle_gamma 90.00
_space_group_name_H-M_alt 'P m -3 m'
_space_group_IT_number 221
_space_group_name_Hall '-P 4 2 3'
loop_
_atom_site_label
_atom_site_fract_x
_atom_site_fract_y
_atom_site_fract_z
In1 0.0000 0.0000 0.0000
Co1 0.5000 0.5000 0.5000
Ir1 0.0000 0.0000 0.5000
# * crystal system: cubic

***

# 9
# InCoIr (GGA-PBEsol, relaxed)
data_InCoIr
_cell_length_a 5.8078
_cell_length_b 5.8078
_cell_length_c 5.8078
_cell_angle_alpha 90.00
_cell_angle_beta 90.00
_cell_angle_gamma 90.00
_space_group_name_H-M_alt 'F -4 3 m'
_space_group_IT_number 216
_space_group_name_Hall 'F -4 2 3'
loop_
_atom_site_label
_atom_site_fract_x
_atom_site_fract_y
_atom_site_fract_z
In1 0.0000 0.0000 0.0000
Co1 0.2500 0.2500 0.2500
Ir1 0.0000 0.0000 0.5000
# * excess energy over the best structure of this formula in the dataset: 0.0 kJ per mole of atoms
# * crystal system: cubic

***

# 10
# InCoIr (GGA-PBEsol, relaxed)
data_InCoIr
_cell_length_a 5.9737
_cell_length_b 5.9737
_cell_length_c 5.9737
_cell_angle_alpha 90.00
_cell_angle_beta 90.00
_cell_angle_gamma 90.00
_space_group_name_H-M_alt 'F -4 3 m'
_space_group_IT_number 216
_space_group_name_Hall 'F -4 2 3'
loop_
_atom_site_label
_atom_site_fract_x
_atom_site_fract_y
_atom_site_fract_z
In1 0.0000 0.0000 0.0000
Co1 0.0000 0.0000 0.5000
Ir1 0.2500 0.2500 0.2500
# * excess energy over the best structure of this formula in the dataset: 10.3 kJ per mole of atoms
# * crystal system: cubic

***

# 11
# In2CoIr (GGA-PBEsol, relaxed)
data_In2CoIr
_cell_length_a 8.5267
_cell_length_b 3.0058
_cell_length_c 5.1872
_cell_angle_alpha 90.00
_cell_angle_beta 101.95
_cell_angle_gamma 90.00
_space_group_name_H-M_alt 'C 1 2/m 1'
_space_group_IT_number 12
loop_
_space_group_symop_operation_xyz
'x,y,z'
'-x,-y,-z'
'-x,y,-z'
'x,-y,z'
'x+1/2,y+1/2,z'
'-x+1/2,-y+1/2,-z'
'-x+1/2,y+1/2,-z'
'x+1/2,-y+1/2,z'
loop_
_atom_site_label
_atom_site_fract_x
_atom_site_fract_y
_atom_site_fract_z
In1 0.2465 0.0000 0.2423
Co1 0.0000 0.5000 0.0000
Ir1 0.0000 0.0000 0.5000
# * crystal system: monoclinic

***

# 12
# InCo2Ir2 (GGA-PBEsol, relaxed)
data_InCo2Ir2
_cell_length_a 3.4258
_cell_length_b 3.4258
_cell_length_c 12.3661
_cell_angle_alpha 90.00
_cell_angle_beta 90.00
_cell_angle_gamma 90.00
_space_group_name_H-M_alt 'I 4/m m m'
_space_group_IT_number 139
_space_group_name_Hall '-I 4 2'
loop_
_atom_site_label
_atom_site_fract_x
_atom_site_fract_y
_atom_site_fract_z
In1 0.0000 0.0000 0.0000
Co1 0.0000 0.5000 0.2500
Ir1 0.0000 0.0000 0.3924
# * crystal system: tetragonal

***

Calculated ΔH_f (0 K) in order - 0.56, 0.24, 0.01, 0.16, 0.28, 0.17, 0.15, 2.65, 0.28, 0.39, 0.22, 0.33 eV per atom
Calculated uncorrected energy in order - -4.80, -5.91, -4.16, -6.91, -6.79, -5.72, -5.73, -5.39, -6.57, -6.46, -5.67, -7.29 eV per atom